# 1
First-principles (PBE) data for a relaxed TmMgP2Ir5 crystal, as listed in Alexandria.

DOS at the Fermi energy, states/eV per cell: 6.31
Calculated formation energy, eV/atom: -0.376

a = 3.9401 Å, b = 3.9401 Å, c = 10.7364 Å
α = 90.00°, β = 90.00°, γ = 90.00°
Closest atoms and distances in Å follow each position.
Space group P4/mmm (No. 123)
One atom of each set of equivalent atoms:
Tm 0.0000 0.0000 0.0000 (multiplicity 1)  4 Ir 2.79
Mg 0.0000 0.0000 0.5000 (multiplicity 1)  8 Ir 2.76
P 0.5000 0.5000 0.2126 (multiplicity 2)  5 Ir 2.28-2.29
Ir 0.0000 0.5000 0.3205 (multiplicity 4)  2 P 2.29
Ir 0.5000 0.5000 0.0000 (multiplicity 1)  2 P 2.28

---

# 2
First-principles (PBE) data for a relaxed CrFeSe4 crystal, as listed in Alexandria.

E_form (uncorrected), eV/atom: 0.9858
DOS at the Fermi energy, states/eV per cell: 32.21

a = 7.9902 Å, b = 7.9902 Å, c = 7.9902 Å
α = 90.00°, β = 90.00°, γ = 90.00°
Closest atoms and distances in Å follow each position.
Space group F-43m (No. 216)
One atom of each set of equivalent atoms:
Cr 0.0000 0.0000 0.0000 (multiplicity 4)  12 Se 3.31, 4 Fe 3.46
Fe 0.2500 0.2500 0.7500 (multiplicity 4)  12 Se 3.31, 4 Cr 3.46
Se 0.1249 0.1249 0.3751 (multiplicity 16)  6 Se 2.82-2.83

---

# 3
First-principles (PBE) data for a relaxed LaPm3Sm4 crystal, as listed in Alexandria.

DOS at the Fermi energy, states/eV per cell: 25.43
ΔE to the lowest computed polymorph, eV per atom: 0.000
Calculated formation energy, eV/atom: 0.017

a = 10.3291 Å, b = 7.3114 Å, c = 7.3072 Å
α = 90.00°, β = 90.00°, γ = 90.00°
Closest atoms and distances in Å follow each position.
Space group Pmna (No. 53)
One atom of each set of equivalent atoms:
La 0.0000 0.0000 0.0000 (multiplicity 2)  8 Sm 3.65-3.66, 4 Pm 3.66
Pm 0.0000 0.5000 0.5000 (multiplicity 2)  8 Sm 3.65-3.66, 4 Pm 3.65
Pm 0.2500 0.2514 0.2500 (multiplicity 4)  8 Sm 3.63-3.68, 2 Pm 3.65, 2 La 3.66
Sm 0.0000 0.0000 0.5000 (multiplicity 2)  2 La 3.65, 6 Pm 3.66, 4 Sm 3.66
Sm 0.0000 0.5000 0.0000 (multiplicity 2)  4 Sm 3.65, 6 Pm 3.65, 2 La 3.66
Sm 0.2500 0.2515 0.7500 (multiplicity 4)  6 Pm 3.63-3.68, 4 Sm 3.65-3.66, 2 La 3.66

---

# 4
First-principles (PBE) data for a relaxed MnSe2NCl crystal, as listed in Alexandria.

E_form (uncorrected), eV/atom: 0.4143
DOS at the Fermi energy, states/eV per cell: 6.64
ΔE to the lowest computed polymorph, eV per atom: 0.000

a = 4.9658 Å, b = 4.9658 Å, c = 3.4523 Å
α = 90.00°, β = 90.00°, γ = 90.00°
Closest atoms and distances in Å follow each position.
Space group P4/mmm (No. 123)
One atom of each set of equivalent atoms:
Mn 0.0000 0.0000 0.0000 (multiplicity 1)  2 N 1.73
Se 0.0000 0.5000 0.0000 (multiplicity 2)  2 Mn 2.48
N 0.0000 0.0000 0.5000 (multiplicity 1)  2 Mn 1.73
Cl 0.5000 0.5000 0.5000 (multiplicity 1)  8 Se 3.02

---

# 5
First-principles (PBE) data for a relaxed Ag2SO4 crystal, as listed in Alexandria.

E_form (uncorrected), eV/atom: -0.8502
ΔE to the lowest computed polymorph, eV per atom: 0.004

a = 5.9475 Å, b = 5.9475 Å, c = 6.5030 Å
α = 90.00°, β = 90.00°, γ = 90.00°
Closest atoms and distances in Å follow each position.
Space group I-42m (No. 121)
One atom of each set of equivalent atoms:
Ag 0.0000 0.5000 0.2500 (multiplicity 4)  4 O 2.40
S 0.0000 0.0000 0.0000 (multiplicity 2)  4 O 1.50
O 0.1472 0.1472 0.1304 (multiplicity 8)  1 S 1.50

---

# 6
First-principles (PBE) data for a relaxed NaPrSe2 crystal, as listed in Alexandria.

E_form (uncorrected), eV/atom: -1.6624
DOS at the Fermi energy, states/eV per cell: 0.00
ΔE to the lowest computed polymorph, eV per atom: 0.014

a = 6.0001 Å, b = 6.0001 Å, c = 12.4654 Å
α = 90.00°, β = 90.00°, γ = 90.00°
Closest atoms and distances in Å follow each position.
Space group I4_1/amd (No. 141, origin choice 2)
One atom of each set of equivalent atoms:
Na 0.0000 0.2500 0.3750 (multiplicity 4)  6 Se 3.00-3.25
Pr 0.0000 0.2500 0.8750 (multiplicity 4)  6 Se 2.98-3.00
Se 0.0000 0.2500 0.1142 (multiplicity 8)  3 Pr 2.98-3.00, 3 Na 3.00-3.25

---

# 7
First-principles (PBE) data for a relaxed Cs2Ca3ErF12 crystal, as listed in Alexandria.

E_form (uncorrected), eV/atom: -3.4617
DOS at the Fermi energy, states/eV per cell: 58.01

a = 8.1702 Å, b = 8.1702 Å, c = 20.4226 Å
α = 90.00°, β = 90.00°, γ = 120.00°
Closest atoms and distances in Å follow each position.
Space group R-3m (No. 166, hexagonal axes)
One atom of each set of equivalent atoms:
Cs 0.0000 0.0000 0.1128 (multiplicity 6)  3 F 3.25
Ca 0.0000 0.5000 0.0000 (multiplicity 9)  6 F 2.26
Er 0.0000 0.0000 0.5000 (multiplicity 3)  6 F 2.16
F 0.0562 0.5281 0.3617 (multiplicity 18)  2 Ca 2.26
F 0.0824 0.5412 0.1067 (multiplicity 18)  1 Er 2.16, 1 Ca 2.26

---

# 8
First-principles (PBE) data for a relaxed Mg3In3Ag2Ru crystal, as listed in Alexandria.

DOS at the Fermi energy, states/eV per cell: 4.07
Calculated formation energy, eV/atom: -0.137

a = 7.8780 Å, b = 7.8780 Å, c = 3.3520 Å
α = 90.00°, β = 90.00°, γ = 120.00°
Closest atoms and distances in Å follow each position.
Space group P-62m (No. 189)
One atom of each set of equivalent atoms:
Mg 0.0000 0.3754 0.0000 (multiplicity 3)  1 Ru 2.96, 4 Ag 2.99, 6 In 3.14-3.21
In 0.0000 0.7229 0.5000 (multiplicity 3)  2 Ru 2.75, 2 Ag 2.87
Ag 0.3333 0.6667 0.5000 (multiplicity 2)  3 In 2.87, 6 Mg 2.99
Ru 0.0000 0.0000 0.0000 (multiplicity 1)  6 In 2.75, 3 Mg 2.96

---

# 9
First-principles (PBE) data for a relaxed Er6Tm3Tc crystal, as listed in Alexandria.

DOS at the Fermi energy, states/eV per cell: 23.00
Calculated formation energy, eV/atom: 0.023

a = 9.9475 Å, b = 5.3608 Å, c = 10.8838 Å
α = 90.00°, β = 99.79°, γ = 90.00°
Closest atoms and distances in Å follow each position.
Space group P2_1/m (No. 11)
One atom of each set of equivalent atoms:
Er 0.0160 0.2500 0.3933 (multiplicity 2)  1 Tc 2.64
Er 0.0589 0.2500 0.0890 (multiplicity 2)  6 Tm 3.21-3.46, 3 Er 3.40-3.41
Er 0.2531 0.7500 0.4666 (multiplicity 2)  2 Tc 3.22, 5 Er 3.30-3.57, 2 Tm 3.42
Er 0.2903 0.7500 0.7810 (multiplicity 2)  7 Er 3.30-3.69, 2 Tc 3.34, 2 Tm 3.58
Er 0.3956 0.2500 0.9835 (multiplicity 2)  6 Er 3.37-3.72, 5 Tm 3.41-3.70
Er 0.4475 0.2500 0.6435 (multiplicity 2)  1 Tc 2.57
Tm 0.0550 0.2500 0.7932 (multiplicity 2)  1 Tc 2.57
Tm 0.2687 0.7500 0.1199 (multiplicity 2)  8 Er 3.38-3.73, 3 Tm 3.40-3.51
Tm 0.3534 0.2500 0.3094 (multiplicity 2)  8 Er 3.32-3.64, 2 Tm 3.40
Tc 0.1854 0.2500 0.6084 (multiplicity 2)  2 Er 2.57-2.64, 1 Tm 2.57

---

# 10
First-principles (PBE) data for a relaxed CdPO3 crystal, as listed in Alexandria.

E_form (uncorrected), eV/atom: -1.7194
DOS at the Fermi energy, states/eV per cell: 0.00

a = 4.8789 Å, b = 4.9840 Å, c = 6.0862 Å
α = 70.57°, β = 82.31°, γ = 89.09°
Closest atoms and distances in Å follow each position.
Space group P-1 (No. 2)
One atom of each set of equivalent atoms:
Cd 0.1177 0.2123 0.2166 (multiplicity 2)  5 O 2.25-2.36
P 0.4142 0.3273 0.6632 (multiplicity 2)  3 O 1.52-1.57
O 0.2335 0.1359 0.5812 (multiplicity 2)  1 P 1.55
O 0.2351 0.4671 0.8275 (multiplicity 2)  1 P 1.57
O 0.3398 0.8133 0.2178 (multiplicity 2)  1 P 1.52

---

# 11
First-principles (PBE) data for a relaxed In2CuAu2 crystal, as listed in Alexandria.

DOS at the Fermi energy, states/eV per cell: 4.05
ΔE to the lowest computed polymorph, eV per atom: 0.343
Calculated formation energy, eV/atom: 0.263

a = 4.2215 Å, b = 4.2215 Å, c = 12.8013 Å
α = 90.00°, β = 90.00°, γ = 90.00°
Closest atoms and distances in Å follow each position.
Space group I4/mmm (No. 139)
One atom of each set of equivalent atoms:
In 0.0000 0.5000 0.2500 (multiplicity 4)  4 Au 2.83, 4 In 2.99
Cu 0.0000 0.0000 0.0000 (multiplicity 2)  8 Au 3.26
Au 0.0000 0.0000 0.3974 (multiplicity 4)  1 Au 2.63, 4 In 2.83

---

# 12
First-principles (PBE) data for a relaxed TbInIrRh crystal, as listed in Alexandria.

DOS at the Fermi energy, states/eV per cell: 3.95
ΔE to the lowest computed polymorph, eV per atom: 0.017
Calculated formation energy, eV/atom: -0.615

a = 6.6752 Å, b = 6.6752 Å, c = 6.6752 Å
α = 90.00°, β = 90.00°, γ = 90.00°
Closest atoms and distances in Å follow each position.
Space group F-43m (No. 216)
One atom of each set of equivalent atoms:
Tb 0.0000 0.0000 0.0000 (multiplicity 4)  4 Rh 2.89, 4 Ir 2.89
In 0.0000 0.0000 0.5000 (multiplicity 4)  4 Ir 2.89, 4 Rh 2.89
Ir 0.2500 0.2500 0.7500 (multiplicity 4)  4 Tb 2.89, 4 In 2.89
Rh 0.2500 0.2500 0.2500 (multiplicity 4)  4 In 2.89, 4 Tb 2.89